(1)
Computed, not measured: a relaxed structure of HIrPd2Au at the PBE-GGA level of DFT.

The structure in POSCAR format:
```
HIrPd2Au
1.0
-3.772 0.262 -1.580
-1.098 -3.367 2.062
-1.113 2.214 3.023
Pd Au Ir H
2 1 1 1
direct
0.500 0.000 0.000
0.000 0.500 0.000
0.500 0.500 0.500
0.000 0.000 0.500
0.000 0.000 0.000
```

Computed properties:
* space group: P4/mmm
* VASP energy: -5.012 eV per atom
* volume: 13.13 Å³/atom
* density: 15.25 g/cm3

=====

(2)
Computed, not measured: a relaxed structure of PmH4IrAu2 at the PBE-GGA level of DFT.

The structure in POSCAR format:
```
PmH4IrAu2
1.0
-5.567 -1.906 1.047
-0.499 -0.739 -5.868
3.986 -1.362 2.703
Ir Au H Pm
1 2 4 1
direct
0.706 0.706 0.471
0.595 0.093 0.971
0.224 0.224 0.473
0.027 0.677 0.685
0.910 0.909 0.471
0.465 0.817 0.260
0.494 0.494 0.471
0.967 0.467 0.971
```

Computed properties:
* space group: P1
* VASP energy: -4.466 eV per atom
* volume: 12.67 Å³/atom
* density: 12.04 g/cm3

=====

(3)
Computed, not measured: a relaxed structure of PmH8Ir2Au at the PBE-GGA level of DFT.

The structure in POSCAR format:
```
PmH8Ir2Au
1.0
4.903 0.000 0.000
2.452 4.246 0.000
2.452 1.415 5.493
H Ir Pm Au
8 2 1 1
direct
0.585 0.345 0.160
0.185 0.185 0.446
0.090 0.415 0.840
0.815 0.815 0.554
0.910 0.585 0.160
0.655 0.090 0.840
0.415 0.655 0.840
0.345 0.910 0.160
0.716 0.716 0.853
0.284 0.284 0.147
0.500 0.500 0.500
0.000 0.000 0.000
```

Computed properties:
* space group: R-3
* VASP energy: -4.425 eV per atom
* volume: 9.53 Å³/atom
* density: 10.66 g/cm3

=====

(4)
Computed, not measured: a relaxed structure of PuH8Ir2Au at the PBE-GGA level of DFT.

The structure in POSCAR format:
```
PuH8Ir2Au
1.0
-4.315 -2.263 0.022
-1.221 -2.883 3.734
-4.102 2.612 3.854
H Ir Au Pu
8 2 1 1
direct
0.422 0.642 0.839
0.814 0.814 0.559
0.186 0.186 0.441
0.358 0.902 0.161
0.642 0.098 0.839
0.578 0.358 0.161
0.902 0.578 0.161
0.098 0.422 0.839
0.286 0.286 0.142
0.714 0.714 0.858
0.000 0.000 0.000
0.500 0.500 0.500
```

Computed properties:
* space group: R-3
* VASP energy: -5.138 eV per atom
* volume: 9.48 Å³/atom
* density: 12.17 g/cm3

=====

(5)
Computed, not measured: a relaxed structure of ReH2IrAu at the PBE-GGA level of DFT.

The structure in POSCAR format:
```
ReH2IrAu
1.0
3.508 0.000 0.000
0.000 5.637 0.000
0.000 0.000 3.508
Ir H Re Au
1 2 1 1
direct
0.500 0.500 0.500
0.000 0.000 0.500
0.500 0.000 0.000
0.000 0.500 0.000
0.000 0.000 0.000
```

Computed properties:
* space group: P4/mmm
* VASP energy: -5.354 eV per atom
* volume: 13.87 Å³/atom
* density: 13.82 g/cm3

=====

(6)
Computed, not measured: a relaxed structure of ScHIr2Au at the PBE-GGA level of DFT.

The structure in POSCAR format:
```
ScHIr2Au
1.0
-2.704 -2.943 -0.406
2.321 -1.750 -2.774
1.906 -2.159 2.957
H Ir Sc Au
1 2 1 1
direct
0.000 0.000 0.000
0.000 0.500 0.000
0.500 0.000 0.000
0.000 0.000 0.500
0.500 0.500 0.500
```

Computed properties:
* space group: P4/mmm
* VASP energy: -6.543 eV per atom
* volume: 13.33 Å³/atom
* density: 15.64 g/cm3